CeLuPtPb: relaxed, PBE.

Lattice parameters (Å, degrees): 5.2194 5.2194 5.2194 60.00 60.00 60.00
Last column: magnetic moment on the atom in μB.
Fractional positions:
Lu1 0.0000 0.0000 0.0000  0.05
Pb1 0.2500 0.2500 0.2500  -0.01
Ce1 0.5000 0.5000 0.5000  0.79
Pt1 0.7500 0.7500 0.7500  -0.03

Computed properties:
ΔH_f (0 K) ... -0.621 eV per atom

Ho6PbO12: relaxed, PBE.

Lattice parameters (Å, degrees): 6.5492 6.5492 6.5492 99.35 99.35 99.35
Last column: magnetic moment on the atom in μB.
Fractional positions:
O1 0.3212 0.9399 0.0664  0.09
Ho1 0.6985 0.3921 0.8607  0.00
O2 0.0601 0.9336 0.6788  0.09
Ho2 0.6079 0.1393 0.3015  0.00
O3 0.9336 0.6788 0.0601  0.09
Pb1 0.0000 0.0000 0.0000  0.00
O4 0.0664 0.3212 0.9399  0.09
Ho3 0.8607 0.6985 0.3921  0.00
Ho4 0.1393 0.3015 0.6079  0.00
O5 0.4192 0.5642 0.8212  0.21
O6 0.5808 0.4358 0.1788  0.21
Ho5 0.3015 0.6079 0.1393  0.00
Ho6 0.3921 0.8607 0.6985  0.00
O7 0.4358 0.1788 0.5808  0.21
O8 0.9399 0.0664 0.3212  0.09
O9 0.8212 0.4192 0.5642  0.21
O10 0.5642 0.8212 0.4192  0.21
O11 0.6788 0.0601 0.9336  0.09
O12 0.1788 0.5808 0.4358  0.21

Computed properties:
ΔE_f (raw) ... -2.933 eV/atom

These records have magnetization values of 1.0; 2.1 μB/f.u., in the order they appear.